1.
3
Lattice="4.439 0.008 0.003 2.191 3.861 -0.003 -2.942 -2.572 2.105" Properties=species:S:1:pos:R:3 comment="ZnFeCo GGA-PBE optimized geometry" e_form_ev_per_fu=0.01 spacegroup="Imm2 (44)" pbc="T T T"
Fe 2.230 1.301 0.000
Co 6.618 3.862 0.000
Zn 4.410 2.574 0.000


2.
4
Lattice="-2.185 0.210 3.719 -2.386 -0.228 -1.389 -0.805 -6.550 -0.102" Properties=species:S:1:pos:R:3 comment="LiCaW2 GGA-PBE optimized geometry" e_form_ev_per_fu=2.26 spacegroup="Pm (6)" pbc="T T T"
Ca -1.507 -3.352 -0.696
W -0.080 -0.126 -0.040
W -1.852 -1.231 1.489
Li -3.533 -5.247 0.729